## K6Rb16Na7 (PBE)

Data for an optimized crystal structure of K6Rb16Na7.

Summary:
Magnetization = 0.00 Bohr magnetons per cell
Theoretical density = 1.36 g cm⁻³
Energy relative to the elements = 0.040 eV per atom

The structure in POSCAR format:
```
K6Rb16Na7
1.0
0.000 10.243 10.243
10.243 0.000 10.243
10.243 10.243 0.000
K Rb Na
6 16 7
Cartesian
10.243 10.243 4.089 K
10.243 4.089 10.243 K
16.397 10.243 10.243 K
4.089 10.243 10.243 K
10.243 16.397 10.243 K
10.243 10.243 16.397 K
12.638 7.848 7.848 Rb
3.239 3.239 3.239 Rb
7.005 7.005 3.239 Rb
7.005 3.239 7.005 Rb
7.848 7.848 7.848 Rb
12.638 12.638 7.848 Rb
12.638 7.848 12.638 Rb
17.248 13.482 13.482 Rb
3.239 7.005 7.005 Rb
7.848 12.638 7.848 Rb
7.848 7.848 12.638 Rb
12.638 12.638 12.638 Rb
13.482 17.248 13.482 Rb
13.482 13.482 17.248 Rb
17.248 17.248 17.248 Rb
7.848 12.638 12.638 Rb
5.122 5.122 0.000 Na
5.122 0.000 5.122 Na
10.243 5.122 5.122 Na
0.000 5.122 5.122 Na
5.122 10.243 5.122 Na
5.122 5.122 10.243 Na
10.243 10.243 10.243 Na
```